A | The following is a PBE calculation of a geometry-optimized ReTe3 structure, from Alexandria.

Symmetry ... No. 44
DOS(E_F) ... 0.754 states/eV per atom

Cell: 6.8879 6.8879 6.8879 Å, 153.17 123.85 63.30°
Last column: nearest neighbours and their distance in Å.
Sites, in units of the cell vectors:
Re 0.9582 0.0000 0.9582  6 Te 2.68-2.69
Te 0.6265 0.5000 0.1265  2 Re 2.68
Te 0.9647 0.3404 0.6243  2 Re 2.69
Te 0.2839 0.6596 0.6243  2 Re 2.69

---

B | The following is a PBE calculation of a geometry-optimized ReTe3 structure, from Alexandria.

Symmetry ... No. 10
DOS(E_F) ... 1.062 states/eV per atom

Cell: 3.4250 2.9640 11.3261 Å, 74.07 90.00 90.00°
Last column: nearest neighbours and their distance in Å.
Sites, in units of the cell vectors:
Re 0.0000 0.0000 0.0000  4 Te 2.69, 2 Re 2.96
Te 0.5000 0.1996 0.8094  2 Re 2.69, 2 Te 2.96
Te 0.0000 0.5000 0.5000  2 Te 2.96
Te 0.5000 0.8004 0.1906  2 Re 2.69, 2 Te 2.96

---

Which one is the most stable? From the structures above, A.